Computed, not measured: a relaxed structure of Sc4Sn2Sb at the PBE level of DFT.

a = 5.1407 Å, b = 5.1407 Å, c = 8.4883 Å
α = 72.37°, β = 72.37°, γ = 90.00°
With the nearest neighbours (Å) after each atom.
Atoms (fractional coordinates):
Sc 0.1804 0.1804 0.6392  1 Sb 2.77, 1 Sn 2.89
Sc 0.8196 0.8196 0.3608  1 Sb 2.77, 1 Sn 2.89
Sc 0.0000 0.5000 0.0000  2 Sb 2.57
Sc 0.5000 0.0000 0.0000  2 Sb 2.57
Sb 0.0000 0.0000 0.0000  6 Sc 2.57-2.77
Sn 0.3687 0.3687 0.2625  1 Sc 2.89
Sn 0.6313 0.6313 0.7375  1 Sc 2.89

***

Computed, not measured: a relaxed structure of BeRu2Au at the PBE level of DFT.

a = 2.7192 Å, b = 2.7192 Å, c = 8.5890 Å
α = 90.00°, β = 90.00°, γ = 117.42°
With the nearest neighbours (Å) after each atom.
Atoms (fractional coordinates):
Ru 0.0000 0.0000 0.9760  2 Be 2.32
Ru 0.5000 0.5000 0.2320  8 Ru 2.61-2.82
Au 0.0000 0.0000 0.5306  2 Be 2.43, 4 Au 2.72
Be 0.5000 0.5000 0.7615  2 Ru 2.32, 2 Au 2.43

***

Computed, not measured: a relaxed structure of TbScCu5 at the PBE level of DFT.

a = 5.0315 Å, b = 8.3559 Å, c = 10.8244 Å
α = 90.00°, β = 90.00°, γ = 90.00°
With the nearest neighbours (Å) after each atom.
Atoms (fractional coordinates):
Tb 0.2500 0.8934 0.8718  10 Cu 2.75-3.04
Tb 0.7500 0.6066 0.3718  10 Cu 2.75-3.04
Tb 0.2500 0.3934 0.6282  10 Cu 2.75-3.04
Tb 0.7500 0.1066 0.1282  10 Cu 2.75-3.04
Sc 0.2500 0.2870 0.9384  7 Cu 2.72-3.05
Sc 0.7500 0.2130 0.4384  7 Cu 2.72-3.05
Sc 0.2500 0.7870 0.5616  7 Cu 2.72-3.05
Sc 0.7500 0.7130 0.0616  7 Cu 2.72-3.05
Cu 0.2500 0.5958 0.0291  6 Cu 2.51-2.77, 3 Sc 2.72-2.76
Cu 0.7500 0.9042 0.5291  6 Cu 2.51-2.77, 3 Sc 2.72-2.76
Cu 0.2500 0.0958 0.4709  6 Cu 2.51-2.77, 3 Sc 2.72-2.76
Cu 0.7500 0.4042 0.9709  6 Cu 2.51-2.77, 3 Sc 2.72-2.76
Cu 0.7500 0.3341 0.7458  7 Cu 2.42-2.61
Cu 0.2500 0.1659 0.2458  7 Cu 2.42-2.61
Cu 0.7500 0.8341 0.7542  7 Cu 2.42-2.61
Cu 0.2500 0.6659 0.2542  7 Cu 2.42-2.61
Cu 0.2500 0.9026 0.1258  4 Cu 2.42-2.56
Cu 0.7500 0.5974 0.6258  4 Cu 2.42-2.56
Cu 0.2500 0.4026 0.3742  4 Cu 2.42-2.56
Cu 0.7500 0.0974 0.8742  4 Cu 2.42-2.56
Cu 0.9987 0.4134 0.1734  7 Cu 2.50-2.61
Cu 0.0013 0.0866 0.6734  7 Cu 2.50-2.61
Cu 0.5013 0.9134 0.3266  7 Cu 2.50-2.61
Cu 0.4987 0.5866 0.8266  7 Cu 2.50-2.61
Cu 0.0013 0.5866 0.8266  7 Cu 2.50-2.61
Cu 0.9987 0.9134 0.3266  7 Cu 2.50-2.61
Cu 0.4987 0.0866 0.6734  7 Cu 2.50-2.61
Cu 0.5013 0.4134 0.1734  7 Cu 2.50-2.61

***

no.,ρ (g cm⁻³),E (eV for the cell shown)
1,4.415,-38.76
2,12.022,-24.35
3,7.613,-130.52